16
Lattice="-6.7828 2.6505 -3.3436 3.2732 -1.6523 -7.9497 -0.2698 -6.1226 5.2958" Properties=species:S:1:pos:R:3 comment="K4U3AuS8 PBE-GGA relaxed" magnetic_moment_mub_per_fu=7.00 raw_formation_energy_ev_per_atom=-1.21 spacegroup="C2/m, No. 12" pbc="T T T"
S -2.7986 -2.0790 -5.5729
S -0.9096 -0.0024 -3.0943
S -2.8698 -5.1221 -2.9032
S -0.9808 -3.0455 -0.4246
S 0.5106 -3.5325 -3.8359
S -4.2899 -1.5920 -2.1616
S -4.2045 1.2852 -4.7186
S 0.4251 -6.4096 -1.2789
Au 1.6366 -0.8262 -3.9748
K -0.1349 -3.0613 2.6479
K 0.0000 0.0000 0.0000
K -3.5263 -1.7361 0.9761
K -3.3914 1.3253 -1.6718
U -1.7548 0.4991 -5.6466
U -1.8897 -2.5622 -2.9988
U 1.5017 -3.8875 -1.3269